A geometry-optimized Ti3TeS structure. Source: Alexandria via LeMat-Bulk, functional PBE.

Calculated values
* energy above the lowest structure with this stoichiometry: 1485 meV per atom
* total moment: 5.8 μB/f.u.
* calculated density: 3837 kg/m³
* ΔE_f (raw): 820.6 meV/atom

a b c (Å): 5.0820 5.0820 5.0820
angles (deg): 90.00 90.00 90.00
Last column: nearest neighbours and their distance in Å.
Fractional coordinates of all 5 atoms:
Ti 0.0000 0.5000 0.0000  2 Te 2.54
Ti 0.0000 0.0000 0.5000  2 Te 2.54
Ti 0.5000 0.0000 0.0000  2 Te 2.54
S 0.5000 0.5000 0.5000  12 Ti 3.59
Te 0.0000 0.0000 0.0000  6 Ti 2.54